No. 1
Hg3BiS4Br: relaxed, GGA-PBE.

```
Hg3BiS4Br
1.0
7.8231 0.0000 0.0000
-3.9115 6.7750 0.0000
0.0000 0.0000 9.4175
Hg Bi S Br
6 2 8 2
Cartesian
-1.9061 3.4161 0.0000
1.9061 3.4161 0.0000
0.0000 6.7177 0.0000
3.9115 0.0573 4.7088
2.0054 3.3588 4.7088
5.8177 3.3588 4.7088
0.0000 0.0000 4.1674
0.0000 0.0000 8.8762
0.0000 2.0908 5.6905
-2.1009 5.7296 5.6905
1.8107 1.0454 0.9817
0.0000 4.5167 8.2057
3.9115 2.2583 3.4969
2.1009 5.7296 5.6905
6.0124 1.0454 0.9817
3.9115 4.6842 0.9817
0.0000 4.5167 2.6336
3.9115 2.2583 7.3424
```

Values from the calculation:
The value obtained for the volume is 27.73 A^3/atom. As for the calculated total energy: -2.79 eV/atom.

***

No. 2
MgPaCo: relaxed, GGA-PBE.

```
MgPaCo
1.0
0.0000 3.1338 3.1338
3.1338 0.0000 3.1338
3.1338 3.1338 0.0000
Mg Pa Co
1 1 1
Cartesian
0.0000 0.0000 0.0000
3.1338 3.1338 3.1338
1.5669 1.5669 1.5669
```

Values from the calculation:
The value obtained for the volume is 20.52 A^3/atom. As for the calculated total energy: -5.86 eV/atom. The value obtained for the distance to the lowest polymorph of the same formula is 0 meV per atom.

***

No. 3
Zn2As: relaxed, GGA-PBE.

```
Zn2As
1.0
1.3751 -8.0549 0.0000
1.3751 8.0549 0.0000
0.0000 0.0000 4.6385
Zn As
4 2
Cartesian
1.3751 6.1069 3.4789
1.3751 4.3642 1.1596
1.3751 -4.3642 3.4789
1.3751 -6.1069 1.1596
1.3751 1.1399 3.4789
1.3751 -1.1399 1.1596
```

Values from the calculation:
The value obtained for the volume is 17.13 A^3/atom. As for the calculated total energy: -2.22 eV/atom. The value obtained for the distance to the lowest polymorph of the same formula is 103 meV per atom.

***

No. 4
NdGa3Pd: relaxed, GGA-PBE.

```
NdGa3Pd
1.0
-2.1702 2.1702 5.2708
2.1702 -2.1702 5.2708
2.1702 2.1702 -5.2708
Nd Ga Pd
1 3 1
Cartesian
0.0000 0.0000 0.0000
2.1702 0.0000 2.5472
0.0000 0.0000 6.2334
0.0000 2.1702 2.5472
0.0000 0.0000 3.7784
```

Values from the calculation:
The value obtained for the volume is 19.86 A^3/atom. As for the calculated total energy: -4.51 eV/atom.

***

No. 5
ScFeHgPb: relaxed, GGA-PBE.

```
ScFeHgPb
1.0
0.0000 3.3664 3.3664
3.3664 0.0000 3.3664
3.3664 3.3664 0.0000
Sc Fe Hg Pb
1 1 1 1
Cartesian
0.0000 0.0000 0.0000
3.3664 3.3664 3.3664
5.0496 5.0496 5.0496
1.6832 1.6832 1.6832
```

Values from the calculation:
The value obtained for the volume is 19.08 A^3/atom. As for the calculated total energy: -4.55 eV/atom. The value obtained for the distance to the lowest polymorph of the same formula is 0 meV per atom.

***

No. 6
CuSiTcW: relaxed, GGA-PBE.

```
CuSiTcW
1.0
0.0000 3.0030 3.0030
3.0030 0.0000 3.0030
3.0030 3.0030 0.0000
Cu Si Tc W
1 1 1 1
Cartesian
0.0000 0.0000 0.0000
3.0030 3.0030 3.0030
1.5015 1.5015 1.5015
4.5045 4.5045 4.5045
```

Values from the calculation:
The value obtained for the volume is 13.54 A^3/atom. As for the calculated total energy: -8.00 eV/atom. The value obtained for the distance to the lowest polymorph of the same formula is 44 meV per atom.

***

No. 7
Ni2Os: relaxed, GGA-PBE.

```
Ni2Os
1.0
5.9999 0.0000 0.0000
0.0000 5.9999 0.0000
0.0000 0.0000 2.5694
Ni Os
4 2
Cartesian
1.4212 1.4212 0.0000
1.5788 4.4211 1.2847
4.4211 1.5788 1.2847
4.5788 4.5788 0.0000
0.0000 0.0000 1.2847
3.0000 3.0000 0.0000
```

Values from the calculation:
The value obtained for the volume is 15.42 A^3/atom. As for the calculated total energy: -6.38 eV/atom. The energy of formation comes out at 3.23 eV per formula unit. The value obtained for the distance to the lowest polymorph of the same formula is 871 meV per atom.

***

No. 8
ErNi2Ge: relaxed, GGA-PBE.

```
ErNi2Ge
1.0
4.0394 0.0000 0.0000
0.0000 5.8266 0.0000
0.0000 0.0000 5.4137
Er Ni Ge
2 4 2
Cartesian
0.0000 0.5352 0.0000
2.0197 5.2914 2.7069
0.0000 1.6221 2.7395
0.0000 3.7502 1.4220
2.0197 2.0764 4.1289
2.0197 4.2045 0.0327
0.0000 3.5765 4.2206
2.0197 2.2501 1.5137
```

Values from the calculation:
The value obtained for the volume is 15.93 A^3/atom. As for the calculated total energy: -5.64 eV/atom.

***

No. 9
BeFeSbIr: relaxed, GGA-PBE.

```
BeFeSbIr
1.0
0.0000 2.9996 2.9996
2.9996 0.0000 2.9996
2.9996 2.9996 0.0000
Be Fe Sb Ir
1 1 1 1
Cartesian
0.0000 0.0000 0.0000
4.4994 4.4994 4.4994
2.9996 2.9996 2.9996
1.4998 1.4998 1.4998
```

Values from the calculation:
The value obtained for the volume is 13.49 A^3/atom. As for the calculated total energy: -6.21 eV/atom. The value obtained for the distance to the lowest polymorph of the same formula is 0 meV per atom.

***

No. 10
LuCuPbS3: relaxed, GGA-PBE.

```
LuCuPbS3
1.0
10.8348 0.0000 0.0000
0.0000 4.0221 0.0000
0.0000 0.0000 11.3067
Lu Cu Pb S
4 4 4 12
Cartesian
0.1603 1.0055 2.0546
5.2571 3.0166 7.7080
5.5777 1.0055 3.5988
10.6745 3.0166 9.2521
2.6666 3.0166 3.3715
2.7507 1.0055 9.0249
8.0840 3.0166 2.2818
8.1681 1.0055 7.9352
1.9715 1.0055 5.7030
3.4459 3.0166 0.0496
7.3889 1.0055 11.2571
8.8632 3.0166 5.6037
0.4224 3.0166 3.9401
1.0406 1.0055 10.5789
2.5086 3.0166 7.8198
2.9088 1.0055 2.1664
4.3768 3.0166 4.9256
4.9949 1.0055 9.5935
5.8398 3.0166 1.7132
6.4580 1.0055 6.3811
7.9260 3.0166 9.1403
8.3261 1.0055 3.4870
9.7942 3.0166 0.7278
10.4123 1.0055 7.3666
```

Values from the calculation:
The value obtained for the volume is 20.53 A^3/atom. As for the calculated total energy: -5.10 eV/atom.

***

No. 11
NbCdCu: relaxed, GGA-PBE.

```
NbCdCu
1.0
0.0000 3.1120 3.1120
3.1120 0.0000 3.1120
3.1120 3.1120 0.0000
Nb Cd Cu
1 1 1
Cartesian
0.0000 0.0000 0.0000
4.6680 4.6680 4.6680
1.5560 1.5560 1.5560
```

Values from the calculation:
The value obtained for the volume is 20.09 A^3/atom. As for the calculated total energy: -3.99 eV/atom. The energy of formation comes out at 2.74 eV per formula unit. The value obtained for the distance to the lowest polymorph of the same formula is 28 meV per atom.

***

No. 12
Zr3NiAs4Pd3: relaxed, GGA-PBE.

```
Zr3NiAs4Pd3
1.0
6.5913 0.0000 0.0000
0.0000 3.9282 0.0000
-0.0258 0.0000 7.6390
Zr Ni As Pd
3 1 4 3
Cartesian
0.0000 0.0000 0.0000
0.4496 1.9641 2.8319
3.2929 0.0000 6.5528
2.5595 0.0000 1.7812
1.9242 1.9641 0.5076
2.1027 0.0000 4.1311
5.0801 0.0000 2.3940
5.1256 1.9641 6.1204
1.2072 1.9641 5.6668
4.4693 1.9641 0.9692
5.9741 0.0000 4.7419
```

Values from the calculation:
The value obtained for the volume is 17.98 A^3/atom. As for the calculated total energy: -6.78 eV/atom. The value obtained for the distance to the lowest polymorph of the same formula is 4 meV per atom.

***

No. 13
Cu4Ag: relaxed, GGA-PBE.

```
Cu4Ag
1.0
4.2299 -1.8331 0.0000
4.2299 1.8331 0.0000
-0.2034 0.0000 8.4410
Cu Ag
8 2
Cartesian
0.3441 0.0000 2.7508
1.2523 0.0000 0.3888
2.0151 0.0000 6.4929
3.7609 0.0000 1.1652
4.4954 0.0000 7.2758
6.2412 0.0000 1.9481
7.0040 0.0000 8.0522
7.9121 0.0000 5.6902
2.8818 0.0000 3.7021
5.3745 0.0000 4.7389
```

Values from the calculation:
The value obtained for the volume is 13.09 A^3/atom. As for the calculated total energy: -3.48 eV/atom. The energy of formation comes out at 0.30 eV per formula unit. The value obtained for the distance to the lowest polymorph of the same formula is 16 meV per atom.

***

No. 14
SmAl3Pb2O8: relaxed, GGA-PBE.

```
SmAl3Pb2O8
1.0
9.4906 0.0000 0.0000
0.0000 9.4906 0.0000
0.0000 0.0000 9.4906
Sm Al Pb O
4 12 8 32
Cartesian
0.0000 0.0000 0.0000
0.0000 4.7453 4.7453
4.7453 0.0000 4.7453
4.7453 4.7453 0.0000
0.0000 2.3726 7.1179
0.0000 7.1179 2.3726
2.3726 0.0000 7.1179
2.3726 4.7453 7.1179
2.3726 7.1179 0.0000
2.3726 7.1179 4.7453
4.7453 2.3726 7.1179
4.7453 7.1179 2.3726
7.1179 0.0000 2.3726
7.1179 2.3726 0.0000
7.1179 2.3726 4.7453
7.1179 4.7453 2.3726
1.0946 1.0946 3.6507
1.0946 3.6507 1.0946
3.6507 1.0946 1.0946
3.6507 3.6507 3.6507
5.8399 5.8399 5.8399
5.8399 8.3960 8.3960
8.3960 5.8399 8.3960
8.3960 8.3960 5.8399
0.8686 0.8686 7.2433
0.8686 3.8767 6.9925
0.8686 6.9925 3.8767
0.8686 7.2433 0.8686
1.3269 1.3269 1.3269
1.3269 3.4184 3.4184
2.2472 5.6139 5.6139
2.2472 8.6220 8.6220
2.4980 5.6139 8.6220
2.4980 8.6220 5.6139
3.4184 1.3269 3.4184
3.4184 3.4184 1.3269
3.8767 0.8686 6.9925
3.8767 3.8767 7.2433
3.8767 6.9925 0.8686
3.8767 7.2433 3.8767
5.6139 2.2472 5.6139
5.6139 2.4980 8.6220
5.6139 5.6139 2.2472
5.6139 8.6220 2.4980
6.0721 6.0721 8.1637
6.0721 8.1637 6.0721
6.9925 0.8686 3.8767
6.9925 3.8767 0.8686
7.2433 0.8686 0.8686
7.2433 3.8767 3.8767
8.1637 6.0721 6.0721
8.1637 8.1637 8.1637
8.6220 2.2472 8.6220
8.6220 2.4980 5.6139
8.6220 5.6139 2.4980
8.6220 8.6220 2.2472
```

Values from the calculation:
The value obtained for the volume is 15.26 A^3/atom. As for the calculated total energy: -7.08 eV/atom.

***

No. 15
GdTmAl2: relaxed, GGA-PBE.

```
GdTmAl2
1.0
5.0395 0.0000 0.0000
0.0000 6.0579 3.0987
0.0000 -6.0579 3.0987
Gd Tm Al
2 2 4
Cartesian
1.2599 -3.6841 3.0987
3.7797 3.6841 3.0987
1.2599 -0.9254 4.6945
3.7797 0.9254 4.6945
1.2599 -0.7158 1.6321
1.2599 1.7956 3.0820
3.7797 0.7158 1.6321
3.7797 -1.7956 3.0820
```

Values from the calculation:
The value obtained for the volume is 23.65 A^3/atom. As for the calculated total energy: -4.35 eV/atom. The value obtained for the distance to the lowest polymorph of the same formula is 186 meV per atom.

***

No. 16
NaGdS2: relaxed, GGA-PBE.

```
NaGdS2
1.0
5.4727 0.0000 0.0000
0.0000 11.3929 0.0000
-0.0046 0.0000 5.6942
Na Gd S
4 4 8
Cartesian
5.4706 1.4201 1.4203
5.4683 4.2763 4.2674
-0.0002 7.1165 1.4268
-0.0025 9.9727 4.2738
2.7262 1.4256 4.2725
2.7285 4.2709 1.4254
2.7396 7.1220 4.2688
2.7419 9.9673 1.4217
0.0008 7.1234 4.2708
0.0031 9.9659 1.4237
2.7330 1.4223 1.4254
2.7307 4.2741 4.2725
2.7374 7.1187 1.4216
2.7351 9.9705 4.2687
5.4650 1.4269 4.2705
5.4673 4.2695 1.4234
```

Values from the calculation:
The value obtained for the volume is 22.19 A^3/atom. As for the calculated total energy: -5.27 eV/atom.

***

No. 17
BeTl2Au: relaxed, GGA-PBE.

```
BeTl2Au
1.0
0.0000 3.5395 3.5395
3.5395 0.0000 3.5395
3.5395 3.5395 0.0000
Be Tl Au
1 2 1
Cartesian
0.0000 0.0000 0.0000
3.5395 3.5395 3.5395
5.3093 5.3093 5.3093
1.7698 1.7698 1.7698
```

Values from the calculation:
The value obtained for the volume is 22.17 A^3/atom. As for the calculated total energy: -2.40 eV/atom.

***

No. 18
Lu4Sc2Fe3N3: relaxed, GGA-PBE.

```
Lu4Sc2Fe3N3
1.0
4.9567 -2.8145 0.0000
4.9567 2.8145 0.0000
-3.2747 0.0000 13.9964
Lu Sc Fe N
8 4 6 6
Cartesian
0.8263 0.4899 1.3004
0.8419 0.4739 5.6779
-0.8111 -0.4899 8.2986
-0.7954 -0.4739 12.6761
7.4341 0.4739 1.3203
7.4497 0.4899 5.6978
5.7967 -0.4739 8.3185
5.8123 -0.4899 12.6960
4.1492 0.4285 1.4023
4.1268 0.4285 5.5959
2.5118 -0.4285 8.4005
2.4895 -0.4285 12.5941
0.5229 0.5290 10.4980
2.5006 1.6194 10.4973
2.1602 -0.5290 3.4998
4.4784 0.5290 10.4966
4.1380 -1.6194 3.4991
6.1158 -0.5290 3.4984
2.4783 1.4073 0.0000
2.5252 1.3560 6.9507
5.7508 1.3560 0.0475
0.8410 -1.4073 6.9982
0.8878 -1.3560 13.9489
4.1135 -1.3560 7.0457
```

Values from the calculation:
The value obtained for the volume is 16.27 A^3/atom. As for the calculated total energy: -7.43 eV/atom.

***

No. 19
Zr4SnPC2: relaxed, GGA-PBE.

```
Zr4SnPC2
1.0
3.4240 0.0000 0.0000
-1.7120 2.9653 0.0000
0.0000 0.0000 13.4623
Zr Sn P C
4 1 1 2
Cartesian
0.0000 0.0000 1.7983
0.0000 0.0000 11.6639
1.7120 0.9884 4.3235
1.7120 0.9884 9.1387
0.0000 0.0000 6.7311
1.7120 0.9884 0.0000
0.0000 1.9769 3.1041
0.0000 1.9769 10.3582
```

Values from the calculation:
The value obtained for the volume is 17.09 A^3/atom. As for the calculated total energy: -8.69 eV/atom.

***

No. 20
KBeAs2Ir: relaxed, GGA-PBE.

```
KBeAs2Ir
1.0
-1.7844 1.7844 7.9633
1.7844 -1.7844 7.9633
1.7844 1.7844 -7.9633
K Be As Ir
1 1 2 1
Cartesian
0.0000 0.0000 0.0000
0.0000 1.7844 3.9816
0.0000 0.0000 5.6960
0.0000 0.0000 10.2305
1.7844 0.0000 3.9816
```

Values from the calculation:
The value obtained for the volume is 20.28 A^3/atom. As for the calculated total energy: -4.84 eV/atom.